Record 1
Computed, not measured: an optimized crystal structure of AlFe2Cl at the GGA-PBEsol level of DFT.

The total magnetization comes out at 5.12 μB per formula unit. Its energy above the most stable polymorph in this dataset is 0.262 eV per atom. As for the uncorrected formation energy: 0.370 eV per atom. For the energy, the calculation gives -5.637 eV/atom.

It has space group C2/m (No. 12), with a = 5.182 Å, b = 8.079 Å, c = 2.785 Å, α = 90.00°, β = 110.67° and γ = 90.00°. The inequivalent atoms are Al at (0.000, 0.000, 0.000), Fe at (0.250, 0.250, 0.500) and Cl at (0.000, 0.500, 0.000).

---

Record 2
Computed, not measured: an optimized crystal structure of Al2FeCl at the GGA-PBEsol level of DFT.

The total magnetization comes out at 2.35 μB per formula unit. Its energy above the most stable polymorph in this dataset is 0.094 eV per atom. As for the uncorrected formation energy: 0.044 eV per atom. For the energy, the calculation gives -4.744 eV/atom.

It has space group P4mm (No. 99), with a = 2.910 Å, b = 2.910 Å, c = 7.405 Å, α = 90.00°, β = 90.00° and γ = 90.00°. The inequivalent atoms are Al at (0.000, 0.000, 0.000), Al at (0.500, 0.500, 0.258), Fe at (0.500, 0.500, 0.793) and Cl at (0.000, 0.000, 0.591).

---

| no. | density of states at the Fermi level (states/eV per cell) |
| --- | --- |
| 1 | 5.341 |
| 2 | 2.711 |